Entry 1:
The following is a DFT calculation (PBE) of DyMgS2 after structural relaxation.

a = 3.7280 Å, b = 3.7280 Å, c = 19.8108 Å
α = 90.00°, β = 90.00°, γ = 120.00°
Closest atoms and distances in Å follow each position.
Element x y z (fractional)
Dy1 0.0000 0.0000 0.0000  6 S 2.80-2.82
Dy2 0.3333 0.6667 0.6667  6 S 2.80-2.82
Dy3 0.6667 0.3333 0.3333  6 S 2.80-2.82
Mg1 0.0000 0.0000 0.1687  6 S 2.59-2.65
Mg2 0.3333 0.6667 0.8353  6 S 2.59-2.65
Mg3 0.6667 0.3333 0.5020  6 S 2.59-2.65
S1 0.0000 0.0000 0.5750  3 Mg 2.59, 3 Dy 2.82
S2 0.0000 0.0000 0.7573  3 Mg 2.65, 3 Dy 2.80
S3 0.3333 0.6667 0.2417  3 Mg 2.59, 3 Dy 2.82
S4 0.3333 0.6667 0.4239  3 Mg 2.65, 3 Dy 2.80
S5 0.6667 0.3333 0.0906  3 Mg 2.65, 3 Dy 2.80
S6 0.6667 0.3333 0.9084  3 Mg 2.59, 3 Dy 2.82

Properties
The uncorrected formation energy is -1617 meV/atom. The calculation puts the final energy at -5.2303 eV per atom.

Entry 2:
The following is a DFT calculation (PBE) of K3TeI after structural relaxation.

a = 13.0683 Å, b = 13.0683 Å, c = 13.0683 Å
α = 154.21°, β = 95.86°, γ = 89.86°
Closest atoms and distances in Å follow each position.
Element x y z (fractional)
K1 0.0695 0.1843 0.8851  3 Te 3.67-3.77, 3 K 3.74-3.80, 3 I 3.75-3.79
K2 0.1192 0.4958 0.6234  2 Te 3.47, 3 I 3.62-3.79
K3 0.2008 0.8157 0.3851  3 Te 3.67-3.77, 3 K 3.74-3.80, 3 I 3.75-3.79
K4 0.2747 0.1762 0.0985  3 Te 3.38-3.66, 1 I 3.57, 1 K 3.74
K5 0.3725 0.4958 0.8766  2 Te 3.47, 3 I 3.62-3.79
K6 0.4223 0.8238 0.5985  3 Te 3.38-3.66, 1 I 3.57, 1 K 3.74
K7 0.5777 0.1762 0.4015  3 Te 3.38-3.66, 1 I 3.57, 1 K 3.74
K8 0.6275 0.5042 0.1234  2 Te 3.47, 3 I 3.62-3.79
K9 0.7253 0.8238 0.9015  3 Te 3.38-3.66, 1 I 3.57, 1 K 3.74
K10 0.7992 0.1843 0.6149  3 Te 3.67-3.77, 3 K 3.74-3.80, 3 I 3.75-3.79
K11 0.8808 0.5042 0.3766  2 Te 3.47, 3 I 3.62-3.79
K12 0.9305 0.8157 0.1149  3 Te 3.67-3.77, 3 K 3.74-3.80, 3 I 3.75-3.79
Te1 0.1521 0.6465 0.5056  8 K 3.38-3.77
Te2 0.3591 0.3535 0.0056  8 K 3.38-3.77
Te3 0.6409 0.6465 0.9944  8 K 3.38-3.77
Te4 0.8479 0.3535 0.4944  8 K 3.38-3.77
I1 0.0912 0.3412 0.7500  8 K 3.62-3.79
I2 0.2974 0.0474 0.2500  6 K 3.57-3.79
I3 0.7026 0.9526 0.7500  6 K 3.57-3.79
I4 0.9088 0.6588 0.2500  8 K 3.62-3.79

Properties
The uncorrected formation energy is -1138 meV/atom. Its polymorph energy (0 for the lowest one) is 0 meV per atom. The calculation puts the final energy at -2.7347 eV per atom.

Entry 3:
The following is a DFT calculation (PBE) of SnBrOF2 after structural relaxation.

a = 4.3088 Å, b = 4.3088 Å, c = 4.0715 Å
α = 90.00°, β = 90.00°, γ = 90.00°
Closest atoms and distances in Å follow each position.
Element x y z (fractional)
Sn1 0.0000 0.0000 0.0000  2 O 2.04, 4 F 2.15
Br1 0.5000 0.5000 0.5000  8 F 2.96, 4 O 3.05
O1 0.0000 0.0000 0.5000  2 Sn 2.04
F1 0.0000 0.5000 0.0000  2 Sn 2.15
F2 0.5000 0.0000 0.0000  2 Sn 2.15

Properties
The uncorrected formation energy is -1176 meV/atom. Its polymorph energy (0 for the lowest one) is 0 meV per atom. The calculation puts the final energy at -4.0515 eV per atom.